Re2SbCl: optimized geometry, GGA-PBE.

As for the distance to the lowest polymorph of the same formula: 3.903 eV/f.u. The calculation puts the uncorrected formation energy at 1.0265 eV per atom. The total energy is -6.690 eV per atom. The calculated density comes out at 12.72 g/cm3.

It has space group I-4m2 (No. 119), with a = 5.019 Å, b = 5.019 Å, c = 5.488 Å, α = 90.00°, β = 90.00° and γ = 90.00°. The distinct sites, in fractional coordinates, are Re at (0.000, 0.000, 0.000), Re at (0.000, 0.500, 0.250), Sb at (0.000, 0.000, 0.500) and Cl at (0.000, 0.500, 0.750).